Arrangement one

MnCoPSe: optimized geometry, PBE.

```
4
Lattice="1.6132 0.9314 6.4002 -1.6132 0.9314 6.4002 0.0000 -1.8627 6.4002" Properties=species:S:1:pos:R:3 pbc="T T T"
Mn 0.0000 0.0000 0.0000
Co 0.0000 0.0000 2.5544
P 0.0000 0.0000 7.8557
Se 0.0000 0.0000 4.8866
```

**Density of states at the Fermi level**: 0.628 states/eV per atom
**SG**: R3m, No. 160
**V**: 57.70 Å³/f.u.



Arrangement two

MnCoPSe: optimized geometry, PBE.

```
4
Lattice="-1.4063 1.4976 6.1739 1.4063 -1.4976 6.1739 1.4063 1.4976 -6.1739" Properties=species:S:1:pos:R:3 pbc="T T T"
Mn 0.0000 0.0000 0.0000
Co 0.0000 0.0000 9.8941
P 0.0000 0.0000 5.0184
Se 1.4063 0.0000 1.8796
```

**Density of states at the Fermi level**: 0.860 states/eV per atom
**SG**: Imm2, No. 44
**V**: 52.01 Å³/f.u.



Arrangement three

MnCoPSe: optimized geometry, PBE.

```
4
Lattice="6.7028 -1.6027 0.0000 6.7028 1.6027 0.0000 -0.7506 0.0000 3.1167" Properties=species:S:1:pos:R:3 pbc="T T T"
Mn 0.0000 0.0000 0.0000
Co 7.8379 0.0000 1.9207
P 2.1563 0.0000 0.5183
Se 5.4270 0.0000 1.3411
```

**Density of states at the Fermi level**: 0.593 states/eV per atom
**SG**: Cm, No. 8
**V**: 66.96 Å³/f.u.



Arrangement four

MnCoPSe: optimized geometry, PBE.

```
4
Lattice="3.2446 0.0000 0.0000 0.0001 3.2454 0.0000 1.5874 1.4677 6.7205" Properties=species:S:1:pos:R:3 pbc="T T T"
Mn 0.0000 0.0000 0.0000
Co 1.6224 1.6225 1.5450
P 3.2097 3.0899 6.0771
Se 3.2448 3.2452 2.4118
```

**Density of states at the Fermi level**: 0.496 states/eV per atom
**SG**: P1, No. 1
**V**: 70.77 Å³/f.u.



The relative energies come out as arrangement one 0; arrangement two 145; arrangement three 173; arrangement four 127, with values in meV/atom.



Arrangement one

MnCoPSe: optimized geometry, PBE.

```
4
Lattice="4.3596 0.0000 0.0000 0.0000 1.7198 3.8959 0.0000 -1.7198 3.8959" Properties=species:S:1:pos:R:3 pbc="T T T"
Mn 0.0000 0.0000 0.0000
Co 2.1798 0.0000 4.4363
P 0.0000 0.0000 5.2853
Se 2.1798 0.0000 6.8454
```

**Density of states at the Fermi level**: 0.696 states/eV per atom
**SG**: Amm2, No. 38
**V**: 58.42 Å³/f.u.



Arrangement two

MnCoPSe: optimized geometry, PBE.

```
4
Lattice="1.6752 0.9672 6.3474 -1.6752 0.9672 6.3474 0.0000 -1.9344 6.3474" Properties=species:S:1:pos:R:3 pbc="T T T"
Mn 0.0000 0.0000 0.0000
Co 0.0000 0.0000 2.5058
P 0.0000 0.0000 14.2389
Se 0.0000 0.0000 4.8473
```

**Density of states at the Fermi level**: 0.983 states/eV per atom
**SG**: R3m, No. 160
**V**: 61.71 Å³/f.u.



Arrangement three

MnCoPSe: optimized geometry, PBE.

```
4
Lattice="2.8288 0.0000 0.0000 0.0000 1.6218 5.9799 0.0000 -1.6218 5.9799" Properties=species:S:1:pos:R:3 pbc="T T T"
Mn 0.0000 0.0000 0.0000
Co 1.4144 0.0000 2.3615
P 1.4144 0.0000 6.8710
Se 1.4144 0.0000 10.0399
```

**Density of states at the Fermi level**: 0.795 states/eV per atom
**SG**: Amm2, No. 38
**V**: 54.87 Å³/f.u.



The relative energies come out as arrangement one 181; arrangement two 0; arrangement three 169, with values in meV/atom.



Arrangement one

Pa2MnCo: optimized geometry, PBE.

```
4
Lattice="1.5229 0.8792 9.0609 -1.5229 0.8792 9.0609 0.0000 -1.7584 9.0609" Properties=species:S:1:pos:R:3 pbc="T T T"
Pa 0.0000 0.0000 2.3429
Pa 0.0000 0.0000 24.8398
Mn 0.0000 0.0000 0.0000
Co 0.0000 0.0000 13.5913
```

**Density of states at the Fermi level**: 1.193 states/eV per atom
**SG**: R-3m, No. 166
**V**: 72.79 Å³/f.u.



Arrangement two

Pa2MnCo: optimized geometry, PBE.

```
4
Lattice="3.2675 0.0000 0.0000 0.0000 3.2675 0.0000 0.0000 0.0000 6.7940" Properties=species:S:1:pos:R:3 pbc="T T T"
Pa 0.0000 0.0000 1.6832
Pa 0.0000 0.0000 5.1108
Mn 1.6337 1.6337 3.3970
Co 1.6337 1.6337 0.0000
```

**Density of states at the Fermi level**: 1.559 states/eV per atom
**SG**: P4/mmm, No. 123
**V**: 72.53 Å³/f.u.



Arrangement three

Pa2MnCo: optimized geometry, PBE.

```
8
Lattice="5.8094 0.0000 0.0000 0.0000 3.6518 0.0000 -2.1831 0.0000 6.9097" Properties=species:S:1:pos:R:3 pbc="T T T"
Pa 0.4061 0.9130 2.9306
Pa -0.7034 0.9130 6.4796
Pa 4.3297 2.7389 0.4300
Pa 3.2201 2.7389 3.9791
Mn 1.3216 2.7389 1.4118
Mn 2.3047 0.9130 5.4978
Co 0.2608 2.7389 4.8282
Co 3.3654 0.9130 2.0815
```

**Density of states at the Fermi level**: 0.906 states/eV per atom
**SG**: P2_1/m, No. 11
**V**: 73.29 Å³/f.u.



The relative energies come out as arrangement one 643; arrangement two 273; arrangement three 0, with values in meV/atom.



Arrangement one

Pa2MnCo9: optimized geometry, PBE.

```
12
Lattice="2.3992 1.3852 8.1689 -2.3992 1.3852 8.1689 0.0000 -2.7704 8.1689" Properties=species:S:1:pos:R:3 pbc="T T T"
Pa 0.0000 0.0000 3.3027
Pa 0.0000 0.0000 21.2039
Mn 0.0000 0.0000 0.0000
Co -1.1980 -0.6917 10.1425
Co 0.0000 0.0000 8.1634
Co 0.0000 -1.3834 14.3641
Co -1.1980 0.6917 14.3641
Co 0.0000 0.0000 12.2533
Co 1.1980 -0.6917 10.1425
Co 0.0000 1.3834 10.1425
Co 0.0000 0.0000 16.3432
Co 1.1980 0.6917 14.3641
```

**Density of states at the Fermi level**: 1.056 states/eV per atom
**SG**: R-3m, No. 166
**V**: 162.89 Å³/f.u.



Arrangement two

Pa2MnCo9: optimized geometry, PBE.

```
12
Lattice="3.8093 0.0000 0.0000 0.0000 3.8093 0.0000 0.0000 0.0000 10.7544" Properties=species:S:1:pos:R:3 pbc="T T T"
Pa 0.0000 0.0000 1.8919
Pa 0.0000 0.0000 8.8625
Mn 0.0000 0.0000 5.3772
Co 0.0000 1.9046 0.0000
Co 0.0000 1.9046 3.8171
Co 0.0000 1.9046 6.9373
Co 1.9046 0.0000 0.0000
Co 1.9046 0.0000 3.8171
Co 1.9046 0.0000 6.9373
Co 1.9046 1.9046 1.9079
Co 1.9046 1.9046 5.3772
Co 1.9046 1.9046 8.8465
```

**Density of states at the Fermi level**: 1.192 states/eV per atom
**SG**: P4/mmm, No. 123
**V**: 156.05 Å³/f.u.



The relative energies come out as arrangement one 72; arrangement two 0, with values in meV/atom.



Arrangement one

MnCoPb: optimized geometry, PBE.

```
3
Lattice="-1.6586 1.6586 4.6466 1.6586 -1.6586 4.6466 1.6586 1.6586 -4.6466" Properties=species:S:1:pos:R:3 pbc="T T T"
Mn 0.0000 0.0000 0.0000
Co 0.0000 0.0000 5.7183
Pb 0.0000 0.0000 2.8234
```

**Density of states at the Fermi level**: 0.893 states/eV per atom
**SG**: I4mm, No. 107
**V**: 51.13 Å³/f.u.



Arrangement two

MnCoPb: optimized geometry, PBE.

```
3
Lattice="0.0000 3.0080 3.0080 3.0080 0.0000 3.0080 3.0080 3.0080 0.0000" Properties=species:S:1:pos:R:3 pbc="T T T"
Mn 0.0000 0.0000 0.0000
Co 4.5119 4.5119 4.5119
Pb 3.0080 3.0080 3.0080
```

**Density of states at the Fermi level**: 1.407 states/eV per atom
**SG**: F-43m, No. 216
**V**: 54.43 Å³/f.u.



Arrangement three

MnCoPb: optimized geometry, PBE.

```
3
Lattice="4.2678 0.0000 0.0000 -2.1339 3.6960 0.0000 0.0000 0.0000 3.1978" Properties=species:S:1:pos:R:3 pbc="T T T"
Mn 0.0000 0.0000 0.0000
Co 0.0000 2.4640 2.4961
Pb 2.1339 1.2320 1.3873
```

**Density of states at the Fermi level**: 0.884 states/eV per atom
**SG**: P3m1, No. 156
**V**: 50.44 Å³/f.u.



The relative energies come out as arrangement one 0; arrangement two 30; arrangement three 101, with values in meV/atom.



Arrangement one

Mn2Co2Pd: optimized geometry, PBE.

```
10
Lattice="6.7510 0.0000 0.0000 0.0000 6.7510 0.0000 0.0000 0.0000 2.6886" Properties=species:S:1:pos:R:3 pbc="T T T"
Mn 1.1245 2.2511 0.0000
Mn 2.2511 5.6266 0.0000
Mn 4.5000 1.1245 0.0000
Mn 5.6266 4.5000 0.0000
Co 0.8600 4.2355 1.3443
Co 2.5155 0.8600 1.3443
Co 4.2355 5.8911 1.3443
Co 5.8911 2.5155 1.3443
Pd 0.0000 0.0000 1.3443
Pd 3.3755 3.3755 1.3443
```

**Density of states at the Fermi level**: 1.375 states/eV per atom
**SG**: P4/mbm, No. 127
**V**: 61.27 Å³/f.u.



Arrangement two

Mn2Co2Pd: optimized geometry, PBE.

```
10
Lattice="6.8136 0.0000 0.0000 0.0000 6.8136 0.0000 0.0000 0.0000 2.5352" Properties=species:S:1:pos:R:3 pbc="T T T"
Mn 0.8087 2.5981 0.0000
Mn 2.5981 6.0049 0.0000
Mn 4.2155 0.8087 0.0000
Mn 6.0049 4.2155 0.0000
Co 1.1605 4.5673 1.2676
Co 2.2463 1.1605 1.2676
Co 4.5673 5.6531 1.2676
Co 5.6531 2.2463 1.2676
Pd 0.0000 0.0000 0.0000
Pd 3.4068 3.4068 0.0000
```

**Density of states at the Fermi level**: 1.400 states/eV per atom
**SG**: P4/mbm, No. 127
**V**: 58.85 Å³/f.u.



The relative energies come out as arrangement one 0; arrangement two 74, with values in meV/atom.



Arrangement one

MnCo3Pt: optimized geometry, PBE.

```
5
Lattice="4.5846 0.0000 0.0000 0.0000 4.5846 0.0000 0.0000 0.0000 4.5846" Properties=species:S:1:pos:R:3 pbc="T T T"
Mn 0.0000 0.0000 0.0000
Co 0.0000 2.2923 2.2923
Co 2.2923 0.0000 2.2923
Co 2.2923 2.2923 0.0000
Pt 2.2923 2.2923 2.2923
```

**Density of states at the Fermi level**: 1.009 states/eV per atom
**SG**: Pm-3m, No. 221
**V**: 96.36 Å³/f.u.



Arrangement two

MnCo3Pt: optimized geometry, PBE.

```
5
Lattice="4.1212 0.0000 0.0000 0.0000 4.1212 0.0000 0.0000 0.0000 4.1212" Properties=species:S:1:pos:R:3 pbc="T T T"
Mn 0.0000 0.0000 0.0000
Co 0.0000 0.0000 2.0606
Co 0.0000 2.0606 0.0000
Co 2.0606 0.0000 0.0000
Pt 2.0606 2.0606 2.0606
```

**Density of states at the Fermi level**: 2.377 states/eV per atom
**SG**: Pm-3m, No. 221
**V**: 70.00 Å³/f.u.



The relative energies come out as arrangement one 171; arrangement two 0, with values in meV/atom.



Arrangement one

MnCo2Pt2: optimized geometry, PBE.

```
10
Lattice="7.2203 0.0000 0.0000 0.0000 7.2203 0.0000 0.0000 0.0000 2.6767" Properties=species:S:1:pos:R:3 pbc="T T T"
Mn 0.0000 0.0000 0.0000
Mn 3.6101 3.6101 0.0000
Co 1.1771 2.4330 1.3384
Co 2.4330 6.0432 1.3384
Co 4.7873 1.1771 1.3384
Co 6.0432 4.7873 1.3384
Pt 0.9843 4.5945 0.0000
Pt 2.6258 0.9843 0.0000
Pt 4.5945 6.2360 0.0000
Pt 6.2360 2.6258 0.0000
```

**Density of states at the Fermi level**: 1.702 states/eV per atom
**SG**: P4/mbm, No. 127
**V**: 69.77 Å³/f.u.



Arrangement two

MnCo2Pt2: optimized geometry, PBE.

```
5
Lattice="-1.6397 1.6397 6.8158 1.6397 -1.6397 6.8158 1.6397 1.6397 -6.8158" Properties=species:S:1:pos:R:3 pbc="T T T"
Mn 0.0000 0.0000 0.0000
Co 1.6397 0.0000 3.4079
Co 0.0000 1.6397 3.4079
Pt 0.0000 0.0000 5.4406
Pt 0.0000 0.0000 8.1910
```

**Density of states at the Fermi level**: 1.008 states/eV per atom
**SG**: I4/mmm, No. 139
**V**: 73.30 Å³/f.u.



The relative energies come out as arrangement one 273; arrangement two 0, with values in meV/atom.



Arrangement one

PuMnCo2: optimized geometry, PBE.

```
4
Lattice="3.9418 0.0000 0.0000 0.0000 3.9418 0.0000 0.0000 0.0000 3.6536" Properties=species:S:1:pos:R:3 pbc="T T T"
Pu 0.0000 0.0000 0.0000
Mn 1.9709 1.9709 0.0000
Co 0.0000 1.9709 1.8268
Co 1.9709 0.0000 1.8268
```

**Density of states at the Fermi level**: 1.493 states/eV per atom
**SG**: P4/mmm, No. 123
**V**: 56.77 Å³/f.u.



Arrangement two

PuMnCo2: optimized geometry, PBE.

```
4
Lattice="2.8967 0.0000 0.0000 0.0000 2.8967 0.0000 0.0000 0.0000 6.6905" Properties=species:S:1:pos:R:3 pbc="T T T"
Pu 0.0000 0.0000 0.0000
Mn 0.0000 0.0000 3.3452
Co 1.4484 1.4484 2.0160
Co 1.4484 1.4484 4.6745
```

**Density of states at the Fermi level**: 1.850 states/eV per atom
**SG**: P4/mmm, No. 123
**V**: 56.14 Å³/f.u.



Arrangement three

PuMnCo2: optimized geometry, PBE.

```
4
Lattice="0.0000 3.0863 3.0863 3.0863 0.0000 3.0863 3.0863 3.0863 0.0000" Properties=species:S:1:pos:R:3 pbc="T T T"
Pu 0.0000 0.0000 0.0000
Mn 3.0863 3.0863 3.0863
Co 1.5432 1.5432 1.5432
Co 4.6295 4.6295 4.6295
```

**Density of states at the Fermi level**: 1.499 states/eV per atom
**SG**: Fm-3m, No. 225
**V**: 58.80 Å³/f.u.



The relative energies come out as arrangement one 0; arrangement two 170; arrangement three 83, with values in meV/atom.



Arrangement one

RbMn2Co: optimized geometry, PBE.

```
8
Lattice="-2.9375 2.9375 6.9125 2.9375 -2.9375 6.9125 2.9375 2.9375 -6.9125" Properties=species:S:1:pos:R:3 pbc="T T T"
Rb 2.9375 1.4688 1.7281
Rb 0.0000 1.4688 5.1843
Mn 0.0000 0.0000 0.0000
Mn 1.4688 1.4688 -3.4562
Mn 1.4688 -1.4688 3.4562
Mn 0.0000 2.9375 0.0000
Co 2.9375 -1.4688 5.1843
Co 0.0000 4.4063 1.7281
```

**Density of states at the Fermi level**: 0.985 states/eV per atom
**SG**: I4_1/amd, No. 141
**V**: 119.30 Å³/f.u.



Arrangement two

RbMn2Co: optimized geometry, PBE.

```
4
Lattice="0.0000 3.0753 3.0753 3.0753 0.0000 3.0753 3.0753 3.0753 0.0000" Properties=species:S:1:pos:R:3 pbc="T T T"
Rb 0.0000 0.0000 0.0000
Mn 1.5377 1.5377 1.5377
Mn 4.6130 4.6130 4.6130
Co 3.0753 3.0753 3.0753
```

**Density of states at the Fermi level**: 1.869 states/eV per atom
**SG**: Fm-3m, No. 225
**V**: 58.17 Å³/f.u.



The relative energies come out as arrangement one 0; arrangement two 942, with values in meV/atom.